! Hf2ZrSiRh (PBEsol, optimized geometry); values from VASP
! formation energy from raw total energies	1.363	eV/atom
! calculated volume	22.9	Å³/atom
&SYSTEM
  ibrav = 0, nat = 5, ntyp = 4
/
ATOMIC_SPECIES
Rh 102.91 Rh.upf
Si 28.09 Si.upf
Hf 178.49 Hf.upf
Zr 91.22 Zr.upf
ATOMIC_POSITIONS angstrom
Rh 2.381 2.450 2.450
Si 2.381 0.000 0.000
Hf 0.000 0.000 2.450
Hf 0.000 2.450 0.000
Zr 0.000 0.000 0.000
CELL_PARAMETERS angstrom
4.762 0.000 0.000
0.000 4.901 0.000
0.000 0.000 4.901